1.
Here is NaTe2F11 after structural relaxation from Alexandria. Energies are from PBE-GGA.

Lattice parameters (Å, degrees): 10.152 9.877 9.734 90.00 90.00 90.00
Space group Ima2 (No. 46)
Symmetry-distinct sites (fractional):
Na1 0.000 0.000 0.000 x4
Te1 0.250 0.189 0.567 x4
Te2 0.250 0.726 0.779 x4
F1 0.109 0.625 0.673 x8
F2 0.116 0.638 0.342 x8
F3 0.118 0.105 0.667 x8
F4 0.122 0.220 0.962 x8
F5 0.250 0.049 0.438 x4
F6 0.250 0.164 0.187 x4
F7 0.250 0.667 0.117 x4

Properties
- Formation energy (no corrections): -2.170 eV per atom

2.
Here is La3Pm4Sm3 after structural relaxation from Alexandria. Energies are from PBE-GGA.

Lattice parameters (Å, degrees): 3.821 13.747 13.686 90.00 90.00 90.00
Space group Amm2 (No. 38)
Symmetry-distinct sites (fractional):
La1 0.000 0.000 0.000 x2
La2 0.500 0.247 0.579 x4
Pm1 0.500 0.000 0.203 x2
Pm2 0.500 0.000 0.454 x2
Pm3 0.500 0.127 0.826 x4
Sm1 0.000 0.000 0.656 x2
Sm2 0.000 0.171 0.329 x4

Properties
- N(E_F): 26.443 states/eV/cell
- Raw total energy: -94.1 eV per cell

3.
Here is Li2AgPd3 after structural relaxation from Alexandria. Energies are from PBE-GGA.

Lattice parameters (Å, degrees): 12.148 4.026 8.385 90.00 117.87 90.00
Space group C2/m (No. 12)
Symmetry-distinct sites (fractional):
Li1 0.028 0.000 0.353 x4
Li2 0.202 0.500 0.352 x4
Ag1 0.127 0.500 0.609 x4
Pd1 0.038 0.500 0.865 x4
Pd2 0.125 0.000 0.131 x4
Pd3 0.209 0.000 0.871 x4

Properties
- N(E_F): 10.645 states/eV/cell
- Raw total energy: -94.8 eV per cell

4.
Here is MgSb2RhI after structural relaxation from Alexandria. Energies are from PBE-GGA.

Lattice parameters (Å, degrees): 5.128 5.128 5.708 90.00 90.00 90.00
Space group P4/mmm (No. 123)
Symmetry-distinct sites (fractional):
Mg1 0.000 0.000 0.000 x1
Sb1 0.000 0.500 0.500 x2
Rh1 0.500 0.500 0.500 x1
I1 0.500 0.500 0.000 x1

Properties
- Formation energy (no corrections): 0.227 eV per atom
- N(E_F): 5.598 states/eV/cell

5.
Here is KMgSc3 after structural relaxation from Alexandria. Energies are from PBE-GGA.

Lattice parameters (Å, degrees): 5.544 5.544 5.544 90.00 90.00 90.00
Space group Pm-3m (No. 221)
Symmetry-distinct sites (fractional):
K1 0.000 0.000 0.000 x1
Mg1 0.500 0.500 0.500 x1
Sc1 0.000 0.500 0.500 x3

Properties
- N(E_F): 11.942 states/eV/cell
- Raw total energy: -17.6 eV per cell

6.
Here is GaBNCl2 after structural relaxation from Alexandria. Energies are from PBE-GGA.

Lattice parameters (Å, degrees): 6.156 6.156 2.664 90.00 90.00 90.00
Space group P4/mmm (No. 123)
Symmetry-distinct sites (fractional):
Ga1 0.000 0.000 0.000 x1
B1 0.500 0.500 0.000 x1
N1 0.500 0.500 0.500 x1
Cl1 0.000 0.500 0.500 x2

Properties
- Formation energy (no corrections): -0.167 eV per atom
- N(E_F): 1.382 states/eV/cell

7.
Here is FeIr2W after structural relaxation from Alexandria. Energies are from PBE-GGA.

Lattice parameters (Å, degrees): 2.7653 2.7653 26.2363 90.00 90.00 120.00
Space group R-3m (No. 166, hexagonal axes)
Symmetry-distinct sites (fractional):
Fe1 0.0000 0.0000 0.0000 x3
Ir1 0.0000 0.0000 0.2518 x6
W1 0.0000 0.0000 0.5000 x3

Properties
- N(E_F): 15.476 states/eV/cell
- Raw total energy: -118.0 eV per cell

8.
Here is La6NdTm12 after structural relaxation from Alexandria. Energies are from PBE-GGA.

Lattice parameters (Å, degrees): 13.2862 13.2862 12.6557 90.00 90.00 120.00
Space group R-3m (No. 166, hexagonal axes)
Symmetry-distinct sites (fractional):
La1 0.0359 0.5179 0.1162 x18
Nd1 0.0000 0.0000 0.5000 x3
Tm1 0.0000 0.2531 0.0000 x18
Tm2 0.0918 0.1837 0.7628 x18

Properties
- N(E_F): 97.356 states/eV/cell
- Raw total energy: -251.3 eV per cell

9.
Here is Na2CdBi2 after structural relaxation from Alexandria. Energies are from PBE-GGA.

Lattice parameters (Å, degrees): 11.920 5.123 11.587 90.00 116.55 90.00
Space group C2/m (No. 12)
Symmetry-distinct sites (fractional):
Na1 0.007 0.000 0.184 x4
Na2 0.170 0.000 0.599 x4
Cd1 0.212 0.500 0.829 x4
Bi1 0.039 0.500 0.389 x4
Bi2 0.147 0.500 0.060 x4

Properties
- N(E_F): 4.840 states/eV/cell
- Raw total energy: -49.8 eV per cell

10.
Here is Li7TbPb4 after structural relaxation from Alexandria. Energies are from PBE-GGA.

Lattice parameters (Å, degrees): 12.915 5.110 10.194 90.00 125.27 90.00
Space group C2/m (No. 12)
Symmetry-distinct sites (fractional):
Li1 0.000 0.000 0.000 x2
Li2 0.074 0.500 0.369 x4
Li3 0.158 0.000 0.582 x4
Li4 0.214 0.500 0.881 x4
Tb1 0.000 0.500 0.000 x2
Pb1 0.078 0.000 0.796 x4
Pb2 0.198 0.000 0.312 x4

Properties
- N(E_F): 8.913 states/eV/cell
- Raw total energy: -69.3 eV per cell

11.
Here is Cu2RePt after structural relaxation from Alexandria. Energies are from PBE-GGA.

Lattice parameters (Å, degrees): 4.455 4.455 2.748 90.00 90.00 90.00
Space group P4/mmm (No. 123)
Symmetry-distinct sites (fractional):
Cu1 0.000 0.500 0.000 x2
Re1 0.000 0.000 0.500 x1
Pt1 0.500 0.500 0.500 x1

Properties
- N(E_F): 4.715 states/eV/cell
- Raw total energy: -25.4 eV per cell

12.
Here is Cs2RbRuCl8 after structural relaxation from Alexandria. Energies are from PBE-GGA.

Lattice parameters (Å, degrees): 6.011 10.461 7.457 90.00 103.12 90.00
Space group P2/m (No. 10)
Symmetry-distinct sites (fractional):
Cs1 0.000 0.244 0.000 x2
Rb1 0.500 0.500 0.500 x1
Ru1 0.500 0.000 0.500 x1
Cl1 0.046 0.500 0.737 x2
Cl2 0.127 0.000 0.331 x2
Cl3 0.415 0.160 0.694 x4

Properties
- Formation energy (no corrections): -1.170 eV per atom
- N(E_F): 5.852 states/eV/cell

13.
Here is Sm12Pt6Rh after structural relaxation from Alexandria. Energies are from PBE-GGA.

Lattice parameters (Å, degrees): 12.7597 12.7597 11.9545 90.00 90.00 120.00
Space group R-3 (No. 148, hexagonal axes)
Symmetry-distinct sites (fractional):
Sm1 0.0288 0.2167 0.3943 x18
Sm2 0.0424 0.2061 0.8852 x18
Pt1 0.0460 0.2643 0.6476 x18
Rh1 0.0000 0.0000 0.0000 x3

Properties
- N(E_F): 62.048 states/eV/cell
- Raw total energy: -346.7 eV per cell

14.
Here is BaSrY2 after structural relaxation from Alexandria. Energies are from PBE-GGA.

Lattice parameters (Å, degrees): 7.507 12.738 3.722 90.00 111.58 90.00
Space group C2/m (No. 12)
Symmetry-distinct sites (fractional):
Ba1 0.000 0.000 0.000 x2
Sr1 0.000 0.500 0.000 x2
Y1 0.250 0.250 0.500 x4

Properties
- N(E_F): 13.551 states/eV/cell
- Raw total energy: -30.8 eV per cell

15.
Here is ScMnSi2 after structural relaxation from Alexandria. Energies are from PBE-GGA.

Lattice parameters (Å, degrees): 3.075 3.075 6.122 90.00 90.00 90.00
Space group P4mm (No. 99)
Symmetry-distinct sites (fractional):
Sc1 0.000 0.000 0.000 x1
Mn1 0.500 0.500 0.693 x1
Si1 0.000 0.000 0.541 x1
Si2 0.500 0.500 0.304 x1

Properties
- Formation energy (no corrections): -0.319 eV per atom
- N(E_F): 1.836 states/eV/cell

16.
Here is HfSbP2O after structural relaxation from Alexandria. Energies are from PBE-GGA.

Lattice parameters (Å, degrees): 5.184 5.184 3.914 90.00 90.00 90.00
Space group P4/mmm (No. 123)
Symmetry-distinct sites (fractional):
Hf1 0.000 0.000 0.000 x1
Sb1 0.500 0.500 0.500 x1
P1 0.000 0.500 0.000 x2
O1 0.000 0.000 0.500 x1

Properties
- Formation energy (no corrections): -0.594 eV per atom
- N(E_F): 3.699 states/eV/cell

17.
Here is Hf2UN4 after structural relaxation from Alexandria. Energies are from PBE-GGA.

Lattice parameters (Å, degrees): 3.183 10.543 10.503 90.00 90.00 90.00
Space group Cmcm (No. 63)
Symmetry-distinct sites (fractional):
Hf1 0.000 0.131 0.067 x8
U1 0.000 0.385 0.250 x4
N1 0.000 0.035 0.250 x4
N2 0.000 0.229 0.618 x8
N3 0.000 0.500 0.000 x4

Properties
- Formation energy (no corrections): -1.608 eV per atom
- N(E_F): 13.575 states/eV/cell

18.
Here is LaSm3Zn8 after structural relaxation from Alexandria. Energies are from PBE-GGA.

Lattice parameters (Å, degrees): 5.6770 5.6770 8.7388 90.00 90.00 120.00
Space group P3m1 (No. 156)
Symmetry-distinct sites (fractional):
La1 0.0000 0.0000 0.0000 x1
Sm1 0.0000 0.0000 0.3974 x1
Sm2 0.6667 0.3333 0.5056 x1
Sm3 0.6667 0.3333 0.8940 x1
Zn1 0.1704 0.3408 0.6954 x3
Zn2 0.3333 0.6667 0.4457 x1
Zn3 0.3333 0.6667 0.9510 x1
Zn4 0.5003 0.0007 0.2018 x3

Properties
- N(E_F): 6.793 states/eV/cell
- Raw total energy: -33.0 eV per cell

19.
Here is TbPm2Pr2Ho4 after structural relaxation from Alexandria. Energies are from PBE-GGA.

Lattice parameters (Å, degrees): 18.835 3.632 9.654 90.00 115.76 90.00
Space group C2/m (No. 12)
Symmetry-distinct sites (fractional):
Tb1 0.000 0.000 0.000 x2
Pm1 0.147 0.000 0.662 x4
Pr1 0.165 0.500 0.001 x4
Ho1 0.020 0.500 0.332 x4
Ho2 0.185 0.000 0.336 x4

Properties
- N(E_F): 24.573 states/eV/cell
- Raw total energy: -83.9 eV per cell

20.
Here is BeNbRe after structural relaxation from Alexandria. Energies are from PBE-GGA.

Lattice parameters (Å, degrees): 3.227 3.227 8.292 90.00 90.00 90.00
Space group I4mm (No. 107)
Symmetry-distinct sites (fractional):
Be1 0.000 0.000 0.000 x2
Nb1 0.000 0.000 0.322 x2
Re1 0.000 0.000 0.647 x2

Properties
- N(E_F): 3.346 states/eV/cell
- Raw total energy: -52.8 eV per cell

21.
Here is TlCu2AgW after structural relaxation from Alexandria. Energies are from PBE-GGA.

Lattice parameters (Å, degrees): 4.703 4.703 5.114 90.00 90.00 90.00
Space group P4/mmm (No. 123)
Symmetry-distinct sites (fractional):
Tl1 0.000 0.000 0.000 x1
Cu1 0.000 0.500 0.500 x2
Ag1 0.000 0.000 0.500 x1
W1 0.500 0.500 0.000 x1

Properties
- N(E_F): 3.767 states/eV/cell
- Raw total energy: -17.7 eV per cell